The following is a PBE with a Hubbard U calculation of crystalline Na2CaCrF8 at its relaxed geometry, from the Alexandria database.

Lattice parameters (Å, degrees): 5.018 5.133 6.842 90.00 90.00 90.88
Site moments in Bohr magnetons follow the coordinates.
Fractional positions:
Na (0.500, 0.500, 0.749)  0.00
Na (0.500, 0.500, 0.251)  0.00
Ca (0.000, 0.000, 0.500)  0.00
Cr (0.000, 0.000, 0.000)  2.05
F (0.179, 0.824, 0.201)  0.00
F (0.740, 0.744, 0.000)  -0.03
F (0.821, 0.176, 0.201)  0.00
F (0.821, 0.176, 0.799)  0.00
F (0.260, 0.256, 0.000)  -0.03
F (0.179, 0.824, 0.799)  0.00
F (0.695, 0.703, 0.500)  -0.03
F (0.305, 0.297, 0.500)  -0.03

Properties
Space-group type = P2/m
Final energy = -5.15 eV/atom